(1)
Crystalline AcNd4Sm2 at its relaxed geometry. Source: the Alexandria database, functional GGA-PBE.

```
7
Lattice="6.781 -1.737 0.039 -2.368 6.324 -1.844 2.113 -3.772 7.707" Properties=species:S:1:pos:R:3 pbc="T T T"
Nd 5.172 0.826 2.617
Sm 4.004 -1.823 5.158
Sm 2.522 2.638 0.744
Ac 0.000 0.000 0.000
Nd -1.184 3.162 -0.922
Nd 1.354 -0.010 3.285
Nd 3.390 -0.868 0.019
```

Results
* space-group type: No. 12
* excess energy over the best structure of this formula in the dataset: 0 meV per atom

=====

(2)
Crystalline Ac3NdSm6 at its relaxed geometry. Source: the Alexandria database, functional GGA-PBE.

```
10
Lattice="-8.440 -2.070 -5.331 -3.678 -9.506 -0.235 -6.426 -3.021 1.598" Properties=species:S:1:pos:R:3 pbc="T T T"
Sm -6.982 -9.994 -1.222
Sm -6.856 -6.489 0.432
Nd -13.193 -11.198 -4.011
Ac -8.492 -7.572 -3.112
Sm -7.409 -4.332 -2.891
Sm -11.272 -4.625 -3.072
Sm -10.960 -10.334 -1.472
Sm -11.434 -8.267 -4.718
Ac -5.774 -3.249 0.655
Ac -10.347 -6.921 -0.429
```

Results
* space-group type: No. 148

=====

(3)
Crystalline Ac2Nd7Sm at its relaxed geometry. Source: the Alexandria database, functional GGA-PBE.

```
10
Lattice="-2.841 -1.681 1.482 -4.926 -4.089 -14.084 8.002 -1.983 13.092" Properties=species:S:1:pos:R:3 pbc="T T T"
Nd 2.149 -5.230 2.605
Ac 2.774 -3.444 5.828
Nd 5.626 -2.370 8.097
Nd 0.117 -3.877 0.245
Nd -0.338 -5.635 -2.624
Nd 0.573 -2.118 3.113
Ac -2.539 -4.309 -5.339
Nd -2.550 -3.702 -9.090
Nd -1.915 -2.523 -2.115
Sm 0.000 0.000 0.000
```

Results
* space-group type: No. 65
* excess energy over the best structure of this formula in the dataset: 0 meV per atom

=====

(4)
Crystalline Ac2NdSm3 at its relaxed geometry. Source: the Alexandria database, functional GGA-PBE.

```
12
Lattice="-0.086 2.965 -4.414 -5.966 8.362 2.529 1.226 12.421 5.115" Properties=species:S:1:pos:R:3 pbc="T T T"
Sm -0.331 7.559 -1.323
Ac -0.698 10.764 0.836
Nd -0.429 13.892 2.932
Sm -4.495 16.188 4.553
Sm -1.960 4.309 -0.271
Sm -2.866 19.438 3.502
Nd -4.397 9.855 0.298
Sm -0.089 4.477 -3.398
Ac -2.308 7.358 1.784
Sm -4.737 19.270 6.628
Ac -4.128 12.983 2.394
Ac -2.518 16.389 1.447
```

Results
* space-group type: No. 12

=====

(5)
Crystalline Ac2Nd4Sm7 at its relaxed geometry. Source: the Alexandria database, functional GGA-PBE.

```
13
Lattice="6.340 0.000 0.000 -3.170 5.491 0.000 0.000 0.000 13.541" Properties=species:S:1:pos:R:3 pbc="T T T"
Sm 1.155 2.001 10.540
Nd 0.000 0.000 5.316
Nd 0.000 3.660 6.771
Ac 0.000 3.660 0.000
Sm -2.015 3.490 10.540
Sm 4.030 0.000 10.540
Ac 3.170 1.830 0.000
Sm -1.155 2.001 3.001
Sm 2.310 0.000 3.001
Sm 2.015 3.490 3.001
Nd 3.170 1.830 6.771
Nd 0.000 0.000 8.225
Sm 0.000 0.000 0.000
```

Results
* space-group type: No. 162

=====

(6)
Crystalline AcNd4Sm6 at its relaxed geometry. Source: the Alexandria database, functional GGA-PBE.

```
11
Lattice="7.649 -3.028 -5.640 -5.297 8.217 1.979 -1.952 3.028 9.301" Properties=species:S:1:pos:R:3 pbc="T T T"
Sm 2.849 0.000 1.830
Sm 1.176 2.594 -1.830
Nd 0.238 3.013 2.027
Nd -1.290 2.000 5.873
Ac 0.000 0.000 0.000
Nd -2.442 9.244 7.667
Sm -5.134 7.964 5.754
Nd -3.354 5.203 1.354
Sm 3.501 0.253 -1.420
Sm -3.940 6.112 8.367
Sm -1.275 5.133 4.220
```

Results
* space-group type: No. 121
* excess energy over the best structure of this formula in the dataset: 0 meV per atom

=====

(7)
Crystalline Ac2Nd2Sm at its relaxed geometry. Source: the Alexandria database, functional GGA-PBE.

```
10
Lattice="0.075 -6.605 -1.842 9.225 -2.702 -2.699 7.844 -4.453 3.524" Properties=species:S:1:pos:R:3 pbc="T T T"
Nd 1.680 -5.753 -1.814
Nd 15.464 -8.007 0.797
Nd 6.987 -9.473 -1.022
Sm 8.221 -6.809 1.189
Ac 13.852 -11.302 -0.850
Sm 8.923 -6.952 -2.206
Ac 3.291 -2.458 -0.167
Ac 11.847 -7.924 -0.282
Nd 10.157 -4.287 0.005
Ac 5.297 -5.836 -0.735
```

Results
* space-group type: No. 15
* excess energy over the best structure of this formula in the dataset: 0 meV per atom

=====

(8)
Crystalline Ac7Nd2Sm at its relaxed geometry. Source: the Alexandria database, functional GGA-PBE.

```
10
Lattice="-3.573 4.307 -2.349 -0.993 -5.245 -8.105 -7.386 -6.289 -0.297" Properties=species:S:1:pos:R:3 pbc="T T T"
Ac -6.960 -2.528 -1.889
Ac -2.938 -1.871 -6.802
Nd -4.295 -1.300 -3.690
Ac -9.014 -5.355 -3.949
Nd -7.657 -5.927 -7.061
Sm 0.000 0.000 0.000
Ac -2.031 -2.795 -2.036
Ac -5.976 -3.613 -5.376
Ac -6.348 -8.739 -6.366
Ac -4.992 -4.698 -8.862
```

Results
* space-group type: No. 65

=====

Number 1: total magnetic moment 0.00 μB per atom, ΔE_f 0.215 eV/atom. Number 2: total magnetic moment 0.13 μB per atom, ΔE_f 0.377 eV/atom. Number 3: total magnetic moment 0.00 μB per atom, ΔE_f 0.150 eV/atom. Number 4: total magnetic moment 0.00 μB per atom, ΔE_f 0.142 eV/atom. Number 5: total magnetic moment 0.00 μB per atom, ΔE_f 0.168 eV/atom. Number 6: total magnetic moment 0.00 μB per atom, ΔE_f 0.312 eV/atom. Number 7: total magnetic moment 0.00 μB per atom, ΔE_f 0.080 eV/atom. Number 8: total magnetic moment 0.03 μB per atom, ΔE_f 0.600 eV/atom.